Model i:
DFT (PBE) results for a relaxed NaCa crystal.

Cell and atoms, written as POSCAR:
```
NaCa
1.0
-4.414 3.775 1.613
-1.159 -4.555 -3.774
-1.526 -4.098 5.415
Na Ca
2 2
Cartesian
-4.473 -2.076 3.879
-2.625 -2.803 -0.624
-3.710 -0.026 1.171
-3.388 -4.852 2.083
```

Model ii:
DFT (PBE) results for a relaxed NaCa crystal.

Cell and atoms, written as POSCAR:
```
NaCa
1.0
6.906 0.000 0.000
0.000 6.906 0.000
0.000 0.000 6.892
Ca Na
4 4
Cartesian
1.337 1.337 0.000
2.116 4.790 3.446
5.569 5.569 0.000
4.790 2.116 3.446
4.725 2.181 0.000
2.181 4.725 0.000
5.634 5.634 3.446
1.272 1.272 3.446
```

Model iii:
DFT (PBE) results for a relaxed NaCa crystal.

Cell and atoms, written as POSCAR:
```
NaCa
1.0
-9.115 -3.966 -8.754
6.481 -11.445 -1.563
-1.975 -1.491 2.732
Na Ca
8 8
Cartesian
-0.817 -13.760 -5.616
1.487 -5.308 -1.823
-6.976 -8.577 -7.238
-3.791 -3.143 -1.969
-4.120 -10.103 -8.494
1.810 -11.570 -5.008
-4.443 -3.841 -5.309
2.368 -8.326 -0.347
-3.620 -13.769 -7.647
-0.988 -3.134 0.062
-3.614 -7.007 -6.438
-7.805 -5.411 -6.109
3.196 -11.492 -1.476
-1.316 -5.318 -3.854
-1.317 -10.094 -6.462
0.981 -8.405 -3.879
```

Model iv:
DFT (PBE) results for a relaxed NaCa crystal.

Cell and atoms, written as POSCAR:
```
NaCa
1.0
9.984 0.000 0.000
0.000 9.984 0.000
0.000 0.000 9.984
Ca Na
6 6
Cartesian
4.992 0.000 2.496
0.000 7.488 4.992
0.000 2.496 4.992
4.992 0.000 7.488
7.488 4.992 0.000
2.496 4.992 0.000
4.992 7.488 0.000
0.000 4.992 2.496
4.992 2.496 0.000
0.000 4.992 7.488
2.496 0.000 4.992
7.488 0.000 4.992
```

Top of the stability list: model iii, leading by 0.063 eV/atom.

Model i:
DFT (PBE) results for a relaxed NaCa crystal.

Cell and atoms, written as POSCAR:
```
NaCa
1.0
6.905 0.000 0.000
0.000 6.905 0.000
0.000 0.000 6.905
Na Ca
4 4
Cartesian
0.000 0.000 0.000
3.452 3.452 0.000
0.000 3.452 3.452
3.452 0.000 3.452
0.000 0.000 3.452
0.000 3.452 0.000
3.452 0.000 0.000
3.452 3.452 3.452
```

Model ii:
DFT (PBE) results for a relaxed NaCa crystal.

Cell and atoms, written as POSCAR:
```
NaCa
1.0
-0.937 -2.235 -3.006
3.485 1.653 0.164
4.447 -9.979 6.034
Na Ca
2 2
Cartesian
2.217 -4.708 0.330
4.779 -5.854 2.863
2.571 -0.899 -0.133
4.425 -9.663 3.325
```

Top of the stability list: model ii, leading by 0.256 eV/atom.

Model i:
DFT (PBE) results for a relaxed NaCa crystal.

Cell and atoms, written as POSCAR:
```
NaCa
1.0
-2.345 0.270 -3.016
-0.139 -6.224 -0.449
-5.388 -0.177 4.126
Ca Na
2 2
Cartesian
-1.159 -4.617 -0.723
-6.712 -1.515 1.384
-5.038 -4.572 -0.147
-2.834 -1.560 0.808
```

Model ii:
DFT (PBE) results for a relaxed NaCa crystal.

Cell and atoms, written as POSCAR:
```
NaCa
1.0
-8.738 2.539 5.844
-0.268 -5.647 2.053
4.283 1.835 5.607
Ca Na
6 6
Cartesian
-3.193 0.113 8.705
-2.545 2.050 5.309
3.831 -1.125 6.217
-0.117 -0.781 6.647
-0.832 0.749 1.953
-6.494 2.394 5.740
-4.572 3.378 8.696
-2.479 -1.633 3.996
-0.446 2.950 8.057
1.535 1.603 4.611
-5.109 -0.868 5.756
1.647 -2.061 3.358
```

Model iii:
DFT (PBE) results for a relaxed NaCa crystal.

Cell and atoms, written as POSCAR:
```
NaCa
1.0
3.924 0.000 0.000
0.000 3.924 0.000
0.000 0.000 10.144
Ca Na
2 2
Cartesian
1.962 0.000 6.440
0.000 1.962 3.705
0.000 1.962 9.022
1.962 0.000 1.122
```

Top of the stability list: model iii, leading by 0.042 eV/atom.